# 1
# NaLiGe2I6 | the Alexandria database | PBE-GGA | optimized geometry
data_NaLiGe2I6
_symmetry_space_group_name_H-M 'C 1 2/c 1'
_symmetry_Int_Tables_number 15
_cell_length_a 14.7933
_cell_length_b 13.3691
_cell_length_c 7.9550
_cell_angle_alpha 90.00
_cell_angle_beta 102.90
_cell_angle_gamma 90.00
loop_
_symmetry_equiv_pos_as_xyz
'x,y,z'
'-x,-y,-z'
'-x,y,-z+1/2'
'x,-y,z+1/2'
'x+1/2,y+1/2,z'
'-x+1/2,-y+1/2,-z'
'-x+1/2,y+1/2,-z+1/2'
'x+1/2,-y+1/2,z+1/2'
loop_
_atom_site_label
_atom_site_fract_x
_atom_site_fract_y
_atom_site_fract_z
Na1 0.0000 0.0864 0.2500
Li1 0.0000 0.2975 0.7500
Ge1 0.2486 0.0828 0.0293
I1 0.1200 0.2424 0.0748
I2 0.1346 0.0727 0.6232
I3 0.1351 0.4138 0.6360
# - calculated volume (Å³/cell) = 1534
# - formation energy (no corrections) (meV per atom) = -655
# - density (Mg/m³) = 4.1

# 2
# LiSbAu2 | the Alexandria database | PBE-GGA | optimized geometry
data_LiSbAu2
_symmetry_space_group_name_H-M 'P m m 2'
_symmetry_Int_Tables_number 25
_cell_length_a 3.0523
_cell_length_b 4.6473
_cell_length_c 5.8311
_cell_angle_alpha 90.00
_cell_angle_beta 90.00
_cell_angle_gamma 90.00
loop_
_symmetry_equiv_pos_as_xyz
'x,y,z'
'-x,-y,z'
'-x,y,z'
'x,-y,z'
loop_
_atom_site_label
_atom_site_fract_x
_atom_site_fract_y
_atom_site_fract_z
Li1 0.0000 0.0000 0.0000
Sb1 0.5000 0.5000 0.6665
Au1 0.5000 0.0000 0.4118
Au2 0.5000 0.5000 0.1347
# - calculated volume (Å³/cell) = 83
# - formation energy (no corrections) (meV per atom) = -268
# - density (Mg/m³) = 10.5

Number 1: final energy -2.83 eV per atom. Number 2: final energy -3.42 eV per atom.